A plane-wave DFT calculation with PBE was carried out for crystalline LiCa2Si4Pd3 at its relaxed geometry.

Cell and atoms, written as CIF:
```
data_LiCa2Si4Pd3
_symmetry_space_group_name_H-M 'P -4 m 2'
_symmetry_Int_Tables_number 115
_cell_length_a 4.164
_cell_length_b 4.164
_cell_length_c 10.243
_cell_angle_alpha 90.00
_cell_angle_beta 90.00
_cell_angle_gamma 90.00
loop_
_symmetry_equiv_pos_as_xyz
'x,y,z'
'y,-x,-z'
'-x,-y,z'
'-y,x,-z'
'-x,y,z'
'-y,-x,-z'
'x,-y,z'
'y,x,-z'
loop_
_atom_site_label
_atom_site_fract_x
_atom_site_fract_y
_atom_site_fract_z
Li1 0.000 0.000 0.000
Ca1 0.000 0.500 0.751
Si1 0.000 0.000 0.500
Si2 0.000 0.500 0.133
Si3 0.500 0.500 0.500
Pd1 0.000 0.500 0.373
Pd2 0.500 0.500 0.000
```

Formation energy from raw total energies (eV/atom): -0.617
Mass density (g/cm3): 4.85


A plane-wave DFT calculation with PBE was carried out for crystalline Ac2Ga3Cu4Ag at its relaxed geometry.

Cell and atoms, written as CIF:
```
data_Ac2Ga3Cu4Ag
_symmetry_space_group_name_H-M 'P -4 m 2'
_symmetry_Int_Tables_number 115
_cell_length_a 4.417
_cell_length_b 4.417
_cell_length_c 10.342
_cell_angle_alpha 90.00
_cell_angle_beta 90.00
_cell_angle_gamma 90.00
loop_
_symmetry_equiv_pos_as_xyz
'x,y,z'
'y,-x,-z'
'-x,-y,z'
'-y,x,-z'
'-x,y,z'
'-y,-x,-z'
'x,-y,z'
'y,x,-z'
loop_
_atom_site_label
_atom_site_fract_x
_atom_site_fract_y
_atom_site_fract_z
Ac1 0.000 0.500 0.243
Ga1 0.000 0.500 0.882
Ga2 0.500 0.500 0.500
Cu1 0.000 0.000 0.000
Cu2 0.000 0.500 0.638
Cu3 0.500 0.500 0.000
Ag1 0.000 0.000 0.500
```

ΔH_f (0 K) (eV per formula unit): -3.227
Mass density (g/cm3): 8.44


A plane-wave DFT calculation with PBE was carried out for crystalline Na3POs at its relaxed geometry.

Cell and atoms, written as CIF:
```
data_Na3POs
_symmetry_space_group_name_H-M 'P m -3 m'
_symmetry_Int_Tables_number 221
_symmetry_space_group_name_Hall '-P 4 2 3'
_cell_length_a 5.342
_cell_length_b 5.342
_cell_length_c 5.342
_cell_angle_alpha 90.00
_cell_angle_beta 90.00
_cell_angle_gamma 90.00
loop_
_atom_site_label
_atom_site_fract_x
_atom_site_fract_y
_atom_site_fract_z
Na1 0.000 0.000 0.500
P1 0.000 0.000 0.000
Os1 0.500 0.500 0.500
```

Energy above the most stable polymorph in this dataset (meV/atom): 0
ΔH_f (0 K) (eV per formula unit): 5.944
Mass density (g/cm3): 3.16


| no. | M_tot (μB per formula unit) |
| --- | --- |
| 1 | 0.00 |
| 2 | 0.00 |
| 3 | 4.00 |